Entry 1:
This record from Alexandria via LeMat-Bulk describes a relaxed structure of Nd7Al2Ni2. The functional is PBE-GGA.

a = 6.9265 Å, b = 6.9265 Å, c = 7.0406 Å
α = 90.00°, β = 90.00°, γ = 109.35°
With the nearest neighbours (Å) after each atom.
Atoms (fractional coordinates):
Nd1 0.0000 0.0000 0.0000  2 Ni 3.33
Nd2 0.0000 0.5000 0.2558  2 Ni 2.74
Nd3 0.0000 0.5000 0.7442  2 Ni 2.74
Nd4 0.5000 0.0000 0.2558  2 Ni 2.74
Nd5 0.5000 0.0000 0.7442  2 Ni 2.74
Nd6 0.5000 0.5000 0.2490  2 Ni 2.91, 2 Al 3.23
Nd7 0.5000 0.5000 0.7510  2 Ni 2.91, 2 Al 3.23
Al1 0.1619 0.1619 0.5000  1 Al 2.59
Al2 0.8381 0.8381 0.5000  1 Al 2.59
Ni1 0.2948 0.7052 0.0000  6 Nd 2.74-2.91
Ni2 0.7052 0.2948 0.0000  6 Nd 2.74-2.91

Output
E: -4.891 eV/atom
calculated volume: 319 Å³/cell
formation energy from the elements: -0.125 eV per atom
symmetry: Cmmm
DOS at the Fermi energy: 11.69 states/eV/f.u.

***

Entry 2:
This record from Alexandria via LeMat-Bulk describes a relaxed structure of LaCr4Se8. The functional is PBE-GGA.

a = 8.0617 Å, b = 8.0617 Å, c = 8.0617 Å
α = 54.20°, β = 54.20°, γ = 54.20°
With the nearest neighbours (Å) after each atom.
Atoms (fractional coordinates):
La1 0.0000 0.0000 0.0000  6 Se 2.96
Cr1 0.0000 0.0000 0.5000  6 Se 2.54-2.56
Cr2 0.0000 0.5000 0.0000  6 Se 2.54-2.56
Cr3 0.5000 0.0000 0.0000  6 Se 2.54-2.56
Cr4 0.5000 0.5000 0.5000  6 Se 2.51
Se1 0.2345 0.2345 0.2345  3 Cr 2.54
Se2 0.2412 0.7314 0.7314  3 Cr 2.51-2.56
Se3 0.2686 0.2686 0.7588  3 Cr 2.51-2.56
Se4 0.2686 0.7588 0.2686  3 Cr 2.51-2.56
Se5 0.7314 0.2412 0.7314  3 Cr 2.51-2.56
Se6 0.7314 0.7314 0.2412  3 Cr 2.51-2.56
Se7 0.7588 0.2686 0.2686  3 Cr 2.51-2.56
Se8 0.7655 0.7655 0.7655  3 Cr 2.54

Output
E: -6.266 eV/atom
formation energy from raw total energies: -75 kJ per mole of atoms
calculated volume: 320 Å³/cell
symmetry: R-3m
DOS at the Fermi energy: 7.52 states/eV/f.u.

***

Entry 3:
This record from Alexandria via LeMat-Bulk describes a relaxed structure of CrSbAu2. The functional is PBE-GGA.

a = 7.9568 Å, b = 7.9568 Å, c = 7.9568 Å
α = 25.82°, β = 25.82°, γ = 25.82°
With the nearest neighbours (Å) after each atom.
Atoms (fractional coordinates):
Cr1 0.0000 0.0000 0.0000  6 Au 2.72
Sb1 0.5000 0.5000 0.5000  6 Au 2.90
Au1 0.2558 0.2558 0.2558  3 Cr 2.72, 3 Sb 2.90
Au2 0.7442 0.7442 0.7442  3 Cr 2.72, 3 Sb 2.90

Output
E: -4.806 eV/atom
formation energy from raw total energies: 26 kJ per mole of atoms
calculated volume: 84 Å³/cell
symmetry: R-3m
DOS at the Fermi energy: 2.65 states/eV/f.u.

***

Entry 4:
This record from Alexandria via LeMat-Bulk describes a relaxed structure of PdWS2. The functional is PBE-GGA.

a = 8.0518 Å, b = 8.0518 Å, c = 8.0518 Å
α = 22.58°, β = 22.58°, γ = 22.58°
With the nearest neighbours (Å) after each atom.
Atoms (fractional coordinates):
Pd1 0.0000 0.0000 0.0000  2 S 2.31
W1 0.5000 0.5000 0.5000  6 S 2.43
S1 0.0981 0.0981 0.0981  1 Pd 2.31, 3 W 2.43
S2 0.9019 0.9019 0.9019  1 Pd 2.31, 3 W 2.43

Output
E: -6.954 eV/atom
formation energy from raw total energies: -34 kJ per mole of atoms
calculated volume: 68 Å³/cell
symmetry: R-3m
DOS at the Fermi energy: 3.65 states/eV/f.u.
ΔE to the lowest computed polymorph: 26 meV per atom

***

Entry 5:
This record from Alexandria via LeMat-Bulk describes a relaxed structure of Y2Er2Mg3. The functional is PBE-GGA.

a = 14.1801 Å, b = 14.1801 Å, c = 3.7346 Å
α = 97.52°, β = 97.52°, γ = 15.14°
With the nearest neighbours (Å) after each atom.
Atoms (fractional coordinates):
Y1 0.0689 0.0689 0.0687  8 Mg 3.27-3.29
Y2 0.9311 0.9311 0.9313  8 Mg 3.27-3.29
Er1 0.2087 0.2087 0.2088  4 Mg 3.27, 4 Er 3.50
Er2 0.7913 0.7913 0.7912  4 Mg 3.27, 4 Er 3.50
Mg1 0.3607 0.3607 0.3609  4 Er 3.27, 4 Y 3.29
Mg2 0.5000 0.5000 0.5000  8 Y 3.27
Mg3 0.6393 0.6393 0.6391  4 Er 3.27, 4 Y 3.29

Output
E: -3.905 eV/atom
calculated volume: 194 Å³/cell
formation energy from the elements: -0.071 eV per atom
symmetry: C2/m
DOS at the Fermi energy: 10.44 states/eV/f.u.

***

Entry 6:
This record from Alexandria via LeMat-Bulk describes a relaxed structure of SrGaAg2. The functional is PBE-GGA.

a = 8.1131 Å, b = 7.4982 Å, c = 6.1057 Å
α = 90.00°, β = 90.00°, γ = 90.00°
With the nearest neighbours (Å) after each atom.
Atoms (fractional coordinates):
Sr1 0.0294 0.2500 0.1378  3 Ga 3.25-3.31, 8 Ag 3.28-3.51
Sr2 0.4706 0.7500 0.6378  3 Ga 3.25-3.31, 8 Ag 3.28-3.51
Sr3 0.5294 0.2500 0.3622  3 Ga 3.25-3.31, 8 Ag 3.28-3.51
Sr4 0.9706 0.7500 0.8622  3 Ga 3.25-3.31, 8 Ag 3.28-3.51
Ga1 0.1273 0.7500 0.3626  6 Ag 2.72-2.86
Ga2 0.3727 0.2500 0.8626  6 Ag 2.72-2.86
Ga3 0.6273 0.7500 0.1374  6 Ag 2.72-2.86
Ga4 0.8727 0.2500 0.6374  6 Ag 2.72-2.86
Ag1 0.1752 0.0571 0.5917  3 Ga 2.72-2.86, 1 Ag 2.89
Ag2 0.1752 0.4429 0.5917  3 Ga 2.72-2.86, 1 Ag 2.89
Ag3 0.3248 0.5571 0.0917  3 Ga 2.72-2.86, 1 Ag 2.89
Ag4 0.3248 0.9429 0.0917  3 Ga 2.72-2.86, 1 Ag 2.89
Ag5 0.6752 0.0571 0.9083  3 Ga 2.72-2.86, 1 Ag 2.89
Ag6 0.6752 0.4429 0.9083  3 Ga 2.72-2.86, 1 Ag 2.89
Ag7 0.8248 0.5571 0.4083  3 Ga 2.72-2.86, 1 Ag 2.89
Ag8 0.8248 0.9429 0.4083  3 Ga 2.72-2.86, 1 Ag 2.89

Output
E: -2.899 eV/atom
calculated volume: 371 Å³/cell
formation energy from the elements: -0.297 eV per atom
symmetry: Pnma
DOS at the Fermi energy: 1.75 states/eV/f.u.

***

Entry 7:
This record from Alexandria via LeMat-Bulk describes a relaxed structure of LaSbH3. The functional is PBE-GGA.

a = 4.3531 Å, b = 4.3531 Å, c = 4.3531 Å
α = 90.00°, β = 90.00°, γ = 90.00°
With the nearest neighbours (Å) after each atom.
Atoms (fractional coordinates):
La1 0.0000 0.0000 0.0000  6 H 2.18
Sb1 0.5000 0.5000 0.5000  12 H 3.08
H1 0.0000 0.0000 0.5000  2 La 2.18
H2 0.0000 0.5000 0.0000  2 La 2.18
H3 0.5000 0.0000 0.0000  2 La 2.18

Output
E: -3.736 eV/atom
calculated volume: 82 Å³/cell
symmetry: Pm-3m
DOS at the Fermi energy: 3.47 states/eV/f.u.
ΔE to the lowest computed polymorph: 0 meV per atom

***

Entry 8:
This record from Alexandria via LeMat-Bulk describes a relaxed structure of CrInHg. The functional is PBE-GGA.

a = 4.6352 Å, b = 4.6352 Å, c = 4.6352 Å
α = 60.00°, β = 60.00°, γ = 60.00°
With the nearest neighbours (Å) after each atom.
Atoms (fractional coordinates):
Cr1 0.0000 0.0000 0.0000  4 Hg 2.84, 4 In 2.84
In1 0.2500 0.2500 0.2500  4 Cr 2.84
Hg1 0.7500 0.7500 0.7500  4 Cr 2.84

Output
E: -3.780 eV/atom
calculated volume: 70 Å³/cell
formation energy from the elements: 0.441 eV per atom
symmetry: F-43m
DOS at the Fermi energy: 2.06 states/eV/f.u.
ΔE to the lowest computed polymorph: 138 meV per atom

***

- Number 1 is which compound?
  Nd7Al2Ni2

***

- What is the DOS at the Fermi energy in the first record?
  11.69 states/eV/f.u.

***

- What is the formula in the seventh record?
  LaSbH3